No. 1
K2LiMnP2: relaxed, PBE-GGA. Values from VASP.

Calculated values
* ΔE_f: -2.7 eV per formula unit
* D(E_F): 1.15 states/eV per cell
* M_tot: 0.33 μB/atom
* volume: 22.0 A^3/atom

The structure in Quantum ESPRESSO input format:
```
&SYSTEM
  ibrav = 0, nat = 12, ntyp = 4
/
ATOMIC_SPECIES
P 30.97 P.upf
K 39.10 K.upf
Mn 54.94 Mn.upf
Li 6.94 Li.upf
CELL_PARAMETERS angstrom
6.0879 0.0000 0.0000
0.0000 5.7397 0.0000
-3.0440 -2.8699 7.5560
ATOMIC_POSITIONS crystal
P 0.2053 0.9175 0.8350
P 0.6297 0.4175 0.8350
P 0.3703 0.5825 0.1650
P 0.7947 0.0825 0.1650
K 0.6049 0.8276 0.6552
K 0.0503 0.3276 0.6552
K 0.3951 0.1724 0.3448
K 0.9497 0.6724 0.3448
Mn 0.5000 0.7500 0.0000
Mn 0.5000 0.2500 0.0000
Li 0.0000 0.2500 0.0000
Li 0.0000 0.7500 0.0000
```



No. 2
KLi2MnPd: relaxed, PBE-GGA. Values from VASP.

Calculated values
* ΔE_f: 4.8 eV per formula unit
* D(E_F): 3.93 states/eV per cell
* M_tot: 0.84 μB/atom
* volume: 28.8 A^3/atom

The structure in Quantum ESPRESSO input format:
```
&SYSTEM
  ibrav = 0, nat = 5, ntyp = 4
/
ATOMIC_SPECIES
Pd 106.42 Pd.upf
Li 6.94 Li.upf
Mn 54.94 Mn.upf
K 39.10 K.upf
CELL_PARAMETERS angstrom
4.9308 0.0000 0.0000
0.0000 5.9322 0.0000
0.0000 0.0000 4.9308
ATOMIC_POSITIONS crystal
Pd 0.5000 0.5000 0.5000
Li 0.0000 0.0000 0.5000
Li 0.5000 0.0000 0.0000
Mn 0.0000 0.0000 0.0000
K 0.0000 0.5000 0.0000
```



No. 3
KLiMnPt2: relaxed, PBE-GGA. Values from VASP.

Calculated values
* ΔE_f: 3.5 eV per formula unit
* D(E_F): 6.75 states/eV per cell
* M_tot: 0.00 μB/atom
* volume: 23.0 A^3/atom

The structure in Quantum ESPRESSO input format:
```
&SYSTEM
  ibrav = 0, nat = 5, ntyp = 4
/
ATOMIC_SPECIES
Li 6.94 Li.upf
Pt 195.08 Pt.upf
Mn 54.94 Mn.upf
K 39.10 K.upf
CELL_PARAMETERS angstrom
4.6371 0.0000 0.0000
0.0000 5.3502 0.0000
0.0000 0.0000 4.6371
ATOMIC_POSITIONS crystal
Li 0.5000 0.5000 0.5000
Pt 0.0000 0.0000 0.5000
Pt 0.5000 0.0000 0.0000
Mn 0.0000 0.0000 0.0000
K 0.0000 0.5000 0.0000
```



No. 4
KLi2MnS4: relaxed, PBE-GGA. Values from VASP.

Calculated values
* energy relative to the elements, uncorrected: -6.97 eV/f.u.
* M_tot: 0.25 μB/atom
* volume: 22.4 A^3/atom

The structure in Quantum ESPRESSO input format:
```
&SYSTEM
  ibrav = 0, nat = 8, ntyp = 4
/
ATOMIC_SPECIES
S 32.06 S.upf
Li 6.94 Li.upf
Mn 54.94 Mn.upf
K 39.10 K.upf
CELL_PARAMETERS angstrom
-2.6440 2.2642 5.1747
-1.2330 -5.9459 -1.4214
6.2005 -0.6662 0.0666
ATOMIC_POSITIONS crystal
S 0.6290 0.4632 0.4632
S 0.0000 0.5368 0.1658
S 0.0000 0.1658 0.5368
S 0.3710 0.8342 0.8342
Li 0.5000 0.7500 0.2500
Li 0.5000 0.2500 0.7500
Mn 0.0000 0.5000 0.5000
K 0.0000 0.0000 0.0000
```